# V2PtRh2

V2PtRh2 after structural relaxation (PBE, the Alexandria database).

The structure in POSCAR format:
```
V2PtRh2
1.0
4.308 0.000 0.000
-2.154 3.731 0.000
0.000 0.000 13.278
V Pt Rh
6 3 6
direct
0.000 0.000 0.088
0.000 0.000 0.912
0.333 0.667 0.578
0.333 0.667 0.755
0.667 0.333 0.245
0.667 0.333 0.422
0.000 0.000 0.500
0.333 0.667 0.167
0.667 0.333 0.833
0.000 0.000 0.281
0.000 0.000 0.719
0.333 0.667 0.386
0.333 0.667 0.948
0.667 0.333 0.052
0.667 0.333 0.614
```

The volume is 213.5 Å³/cell. The value obtained for the energy relative to the lowest polymorph listed for this composition is 0.011 eV per atom.



# V2Pt3Rh4

V2Pt3Rh4 after structural relaxation (PBE, the Alexandria database).

The structure in POSCAR format:
```
V2Pt3Rh4
1.0
4.724 0.000 0.000
0.231 7.087 0.000
2.138 2.624 7.791
V Pt Rh
4 6 8
direct
0.179 0.272 0.000
0.295 0.035 0.756
0.705 0.965 0.244
0.821 0.728 0.000
0.066 0.480 0.218
0.250 0.886 0.091
0.390 0.807 0.556
0.610 0.193 0.444
0.750 0.114 0.909
0.934 0.520 0.782
0.051 0.296 0.561
0.163 0.090 0.316
0.376 0.650 0.891
0.488 0.396 0.683
0.512 0.604 0.317
0.624 0.350 0.109
0.837 0.910 0.684
0.949 0.704 0.439
```

The volume is 260.8 Å³/cell. The calculation puts the electronic total energy at -7.66 eV/atom.



# VPt6Rh2

VPt6Rh2 after structural relaxation (PBE, the Alexandria database).

The structure in POSCAR format:
```
VPt6Rh2
1.0
6.044 -1.385 0.000
6.044 1.385 0.000
-1.886 0.000 8.089
V Pt Rh
1 6 2
direct
0.000 0.000 0.000
0.001 0.001 0.676
0.333 0.333 0.445
0.335 0.335 0.107
0.665 0.665 0.893
0.667 0.667 0.555
0.999 0.999 0.324
0.343 0.343 0.786
0.657 0.657 0.214
```

The volume is 135.5 Å³/cell. The value obtained for the energy relative to the lowest polymorph listed for this composition is 0.036 eV per atom.



# V2PtRh2

V2PtRh2 after structural relaxation (PBE, the Alexandria database).

The structure in POSCAR format:
```
V2PtRh2
1.0
7.159 0.000 0.000
0.000 7.159 0.000
0.000 0.000 2.811
V Pt Rh
4 2 4
direct
0.170 0.330 0.000
0.330 0.830 0.000
0.670 0.170 0.000
0.830 0.670 0.000
0.000 0.000 0.500
0.500 0.500 0.500
0.131 0.631 0.500
0.369 0.131 0.500
0.631 0.869 0.500
0.869 0.369 0.500
```

The volume is 144.1 Å³/cell. The value obtained for the energy relative to the lowest polymorph listed for this composition is 0.000 eV per atom.



# V2PtRh4

V2PtRh4 after structural relaxation (PBE, the Alexandria database).

The structure in POSCAR format:
```
V2PtRh4
1.0
4.782 0.000 0.000
0.000 4.782 0.000
0.000 0.000 11.929
V Pt Rh
4 2 8
direct
0.000 0.000 0.107
0.000 0.000 0.893
0.500 0.500 0.393
0.500 0.500 0.607
0.000 0.000 0.500
0.500 0.500 0.000
0.000 0.000 0.280
0.000 0.000 0.720
0.000 0.500 0.000
0.000 0.500 0.500
0.500 0.000 0.000
0.500 0.000 0.500
0.500 0.500 0.220
0.500 0.500 0.780
```

The volume is 272.8 Å³/cell. The value obtained for the energy relative to the lowest polymorph listed for this composition is 1.222 eV per atom.



# V4PtRh5

V4PtRh5 after structural relaxation (PBE, the Alexandria database).

The structure in POSCAR format:
```
V4PtRh5
1.0
-1.976 3.933 4.765
1.976 -3.933 4.765
1.976 3.933 -4.765
V Pt Rh
4 1 5
direct
0.179 0.500 0.679
0.245 0.245 0.000
0.755 0.755 0.000
0.821 0.500 0.321
0.500 0.500 0.000
0.000 0.000 0.000
0.153 0.836 0.317
0.480 0.164 0.317
0.520 0.836 0.683
0.847 0.164 0.683
```

The volume is 148.1 Å³/cell. The calculation puts the electronic total energy at -8.04 eV/atom.



# VPt8Rh6

VPt8Rh6 after structural relaxation (PBE, the Alexandria database).

The structure in POSCAR format:
```
VPt8Rh6
1.0
3.625 2.093 5.331
-3.625 2.093 5.331
0.000 -4.185 5.331
V Pt Rh
1 8 6
direct
0.000 0.000 0.000
0.145 0.834 0.410
0.166 0.590 0.855
0.255 0.255 0.255
0.410 0.145 0.834
0.590 0.855 0.166
0.745 0.745 0.745
0.834 0.410 0.145
0.855 0.166 0.590
0.078 0.360 0.668
0.332 0.922 0.640
0.360 0.668 0.078
0.640 0.332 0.922
0.668 0.078 0.360
0.922 0.640 0.332
```

The volume is 242.6 Å³/cell. The value obtained for the energy relative to the lowest polymorph listed for this composition is 0.007 eV per atom.



# V5Pt4Rh

V5Pt4Rh after structural relaxation (PBE, the Alexandria database).

The structure in POSCAR format:
```
V5Pt4Rh
1.0
2.710 0.000 0.000
0.000 2.710 0.000
0.000 0.000 19.322
V Pt Rh
5 4 1
direct
0.000 0.000 0.000
0.000 0.000 0.202
0.000 0.000 0.404
0.000 0.000 0.596
0.000 0.000 0.798
0.500 0.500 0.101
0.500 0.500 0.302
0.500 0.500 0.698
0.500 0.500 0.899
0.500 0.500 0.500
```

The volume is 141.9 Å³/cell. The calculation puts the electronic total energy at -8.24 eV/atom.



no.,total magnetization (μB per atom)
1,0.0000
2,0.0000
3,0.0000
4,0.0000
5,0.1588
6,0.0986
7,0.0002
8,0.0000